Computed, not measured: an optimized crystal structure of CoSN2O at the PBE+U level of DFT.

```
CoSN2O
1.0
3.3793 0.0000 0.0000
0.0000 3.3793 0.0000
0.0000 0.0000 4.1311
Co S N O
1 1 2 1
Direct
0.0000 0.0000 0.0000
0.5000 0.5000 0.5000
0.0000 0.5000 0.5000
0.5000 0.0000 0.5000
0.5000 0.5000 0.0000
```

Properties
space-group type = No. 123
VASP energy = -4.928 eV per atom
V = 47.2 Å³ per cell
spin magnetization = 3.051 μB per cell
crystal system = tetragonal